This record from the Alexandria database describes a relaxed structure of Ca2YTa. The functional is GGA-PBEsol.

The calculation puts the total magnetic moment at 0.00 μB per formula unit. Its symmetry is P2/m, No. 10. For the offset from the most stable computed form, the calculation gives 0.183 eV per formula unit. For the formation energy, the calculation gives 0.648 eV per atom. Its final energy is -5.262 eV/atom.

a b c (Å): 3.1632 5.7950 5.9258
angles (deg): 90.00 94.32 90.00
Fractional coordinates of all 4 atoms:
Ca (0.2453, 0.0000, 0.2633)
Ca (0.7547, 0.0000, 0.7367)
Y (0.5000, 0.5000, 0.0000)
Ta (0.0000, 0.5000, 0.5000)